1.
# Ca2LaGaCu2O7

Ca2LaGaCu2O7 at its PBEsol-relaxed geometry (meta-GGA SCAN, Alexandria).

POSCAR file:
```
Ca2LaGaCu2O7
1.0
-10.9834 2.7647 2.6857
10.9834 -2.7647 2.6857
10.9834 2.7647 -2.6857
Ca La Ga Cu O
4 2 2 4 14
direct
0.0374 0.1540 0.1914
0.0374 0.3460 0.3833
0.9626 0.6540 0.6167
0.9626 0.8460 0.8086
0.9800 0.4800 0.5000
0.9800 0.9800 0.0000
0.4480 0.7687 0.1793
0.5895 0.2687 0.8207
0.4780 0.5623 0.0785
0.4780 0.8995 0.4156
0.4839 0.0623 0.5844
0.4839 0.3995 0.9215
0.3573 0.1051 0.6096
0.3573 0.2476 0.7522
0.4738 0.1519 0.1717
0.4738 0.8021 0.8219
0.4878 0.3034 0.3253
0.4878 0.6625 0.6843
0.4955 0.6051 0.2478
0.4955 0.7476 0.3904
0.7572 0.1221 0.1351
0.9781 0.1625 0.6747
0.9781 0.8034 0.3157
0.9802 0.3021 0.8283
0.9802 0.6519 0.1781
0.9870 0.6221 0.8649
```

- Space-group type: Ima2, No. 46
- Formation energy from raw total energies: -2350 meV per atom
- E: -14.1033 eV per atom
- Total moment: 0.00 μB per cell
- Energy above the lowest structure with this stoichiometry: 9 meV per atom

---

2.
# Ca2LaGaCu2O7

Ca2LaGaCu2O7 at its PBEsol-relaxed geometry (meta-GGA SCAN, Alexandria).

POSCAR file:
```
Ca2LaGaCu2O7
1.0
5.3382 0.0000 0.0000
0.0081 5.4842 0.0000
2.6154 2.5802 11.0871
Ca La Ga Cu O
4 2 2 4 14
direct
0.0000 0.0000 0.0000
0.1535 0.1028 0.7117
0.4988 0.4321 0.0022
0.8045 0.8085 0.3939
0.3113 0.2517 0.4031
0.6649 0.6162 0.7023
0.3800 0.8082 0.1949
0.8845 0.4421 0.1956
0.0862 0.5382 0.8581
0.2442 0.6926 0.5504
0.5852 0.0354 0.8574
0.7428 0.1974 0.5524
0.0112 0.4205 0.5595
0.0246 0.7576 0.1995
0.0475 0.3686 0.0558
0.3431 0.2917 0.8347
0.3432 0.7846 0.8531
0.3916 0.8641 0.3426
0.4703 0.9586 0.5635
0.5192 0.4691 0.5368
0.5269 0.4882 0.1965
0.5446 0.0118 0.0555
0.8403 0.3007 0.8408
0.8451 0.7950 0.8495
0.8838 0.2374 0.3429
0.9778 0.9282 0.5572
```

- Space-group type: P1, No. 1
- Formation energy from raw total energies: -2359 meV per atom
- E: -14.1122 eV per atom
- Total moment: 0.00 μB per cell
- Energy above the lowest structure with this stoichiometry: 0 meV per atom

---

3.
# Ca2PrGaCu2O7

Ca2PrGaCu2O7 at its PBEsol-relaxed geometry (meta-GGA SCAN, Alexandria).

POSCAR file:
```
Ca2PrGaCu2O7
1.0
-10.9665 2.7578 2.6804
10.9665 -2.7578 2.6804
10.9665 2.7578 -2.6804
Ca Pr Ga Cu O
4 2 2 4 14
direct
0.0377 0.1537 0.1914
0.0377 0.3463 0.3840
0.9623 0.6537 0.6160
0.9623 0.8463 0.8086
0.0203 0.0203 0.0000
0.0203 0.5203 0.5000
0.4102 0.7309 0.1792
0.5517 0.2309 0.8208
0.5165 0.5995 0.0774
0.5165 0.9391 0.4170
0.5221 0.0995 0.5830
0.5221 0.4391 0.9226
0.0131 0.3767 0.1364
0.0200 0.3475 0.8196
0.0200 0.7004 0.1725
0.0218 0.1971 0.6852
0.0218 0.8365 0.3247
0.2403 0.8767 0.8636
0.5053 0.2516 0.6105
0.5053 0.3948 0.7537
0.5118 0.3365 0.3148
0.5118 0.6971 0.6753
0.5279 0.2004 0.1804
0.5279 0.8475 0.8275
0.6411 0.7516 0.2463
0.6411 0.8948 0.3895
```

- Space-group type: Ima2, No. 46
- Formation energy from raw total energies: -2330 meV per atom
- E: -14.1003 eV per atom
- Total moment: 0.00 μB per cell

---

4.
# CaGa2Cu3Sb2O12

CaGa2Cu3Sb2O12 at its PBEsol-relaxed geometry (meta-GGA SCAN, Alexandria).

POSCAR file:
```
CaGa2Cu3Sb2O12
1.0
7.4656 0.0000 0.0000
0.0000 7.4656 0.0000
0.0000 0.0000 7.4656
Ca Ga Cu Sb O
2 4 6 4 24
direct
0.2500 0.2500 0.2500
0.7500 0.7500 0.7500
0.0000 0.0000 0.0000
0.0000 0.5000 0.5000
0.5000 0.0000 0.5000
0.5000 0.5000 0.0000
0.2500 0.2500 0.7500
0.2500 0.7500 0.2500
0.2500 0.7500 0.7500
0.7500 0.2500 0.2500
0.7500 0.2500 0.7500
0.7500 0.7500 0.2500
0.0000 0.0000 0.5000
0.0000 0.5000 0.0000
0.5000 0.0000 0.0000
0.5000 0.5000 0.5000
0.0547 0.7491 0.5749
0.0547 0.7509 0.9251
0.0749 0.5547 0.2509
0.0749 0.9453 0.2491
0.2491 0.0749 0.9453
0.2491 0.4251 0.5547
0.2509 0.0749 0.5547
0.2509 0.4251 0.9453
0.4251 0.5547 0.2491
0.4251 0.9453 0.2509
0.4453 0.7491 0.9251
0.4453 0.7509 0.5749
0.5547 0.2491 0.4251
0.5547 0.2509 0.0749
0.5749 0.0547 0.7491
0.5749 0.4453 0.7509
0.7491 0.5749 0.0547
0.7491 0.9251 0.4453
0.7509 0.5749 0.4453
0.7509 0.9251 0.0547
0.9251 0.0547 0.7509
0.9251 0.4453 0.7491
0.9453 0.2491 0.0749
0.9453 0.2509 0.4251
```

- Space-group type: Pn-3, No. 201
- Formation energy from raw total energies: -1668 meV per atom
- E: -13.5300 eV per atom
- Total moment: 6.00 μB per cell

---

5.
# Sr2Ca2GaCu3O9

Sr2Ca2GaCu3O9 at its PBEsol-relaxed geometry (meta-GGA SCAN, Alexandria).

POSCAR file:
```
Sr2Ca2GaCu3O9
1.0
-14.6684 2.6895 2.6562
14.6684 -2.6895 2.6562
14.6684 2.6895 -2.6562
Sr Ca Ga Cu O
4 4 2 6 18
direct
0.0117 0.1717 0.1833
0.0117 0.3283 0.3400
0.9883 0.6717 0.6600
0.9883 0.8283 0.8167
0.0005 0.5549 0.5569
0.0005 0.9437 0.9456
0.9980 0.0549 0.0544
0.9980 0.4437 0.4431
0.4741 0.7946 0.1795
0.6151 0.2946 0.8205
0.4984 0.1113 0.6129
0.4984 0.3854 0.8870
0.4984 0.6113 0.1130
0.4984 0.8854 0.3871
0.4996 0.9996 0.5000
0.4996 0.4996 0.0000
0.9996 0.2500 0.7506
0.9996 0.7489 0.2496
0.0080 0.6497 0.8583
0.4411 0.1700 0.6543
0.4411 0.2867 0.7711
0.4984 0.1410 0.1427
0.4984 0.8557 0.8574
0.4994 0.2489 0.2494
0.4994 0.7500 0.7504
0.5014 0.3549 0.3566
0.5014 0.6448 0.6466
0.5157 0.6700 0.2289
0.5157 0.7867 0.3457
0.7915 0.1497 0.1417
0.9982 0.1448 0.6434
0.9983 0.3557 0.8573
0.9983 0.6410 0.1426
0.9982 0.8549 0.3534
```

- Space-group type: Ima2, No. 46
- Formation energy from raw total energies: -2127 meV per atom
- E: -12.8274 eV per atom
- Total moment: 1.28 μB per cell

---

6.
# Ca2GaCuPd

Ca2GaCuPd at its PBEsol-relaxed geometry (meta-GGA SCAN, Alexandria).

POSCAR file:
```
Ca2GaCuPd
1.0
5.3635 0.0000 0.0000
0.0000 5.3635 0.0000
0.0000 0.0000 4.6830
Ca Ga Cu Pd
2 1 1 1
direct
0.0000 0.5000 0.0000
0.5000 0.0000 0.0000
0.0000 0.0000 0.5000
0.5000 0.5000 0.5000
0.0000 0.0000 0.0000
```

- Energy of formation: -0.120 eV per atom
- Space-group type: P4/mmm, No. 123
- E: -16.8494 eV per atom
- Total moment: 0.00 μB per cell